VASP calculation (GGA-PBE) on a relaxed CdRhO3 crystal.

Computed properties:
- Symmetry: Cmmm (65)
- VASP energy: -5.356 eV/atom
- V: 11.73 Å³/atom
- M_tot: 1.127 μB/cell

Cell lengths 6.3922, 6.3922, 3.0717 Å; angles 90.00, 90.00, 110.87 degrees
Sites, in units of the cell vectors:
Cd 0.0000 0.0000 0.0000
Cd 0.5000 0.5000 0.5000
Rh 0.0000 0.5000 0.0000
Rh 0.5000 0.0000 0.0000
O 0.0660 0.3235 0.5000
O 0.3235 0.0660 0.5000
O 0.3321 0.6679 0.0000
O 0.6679 0.3321 0.0000
O 0.6765 0.9340 0.5000
O 0.9340 0.6765 0.5000

=====

VASP calculation (GGA-PBE) on a relaxed Pr5Tl2ZnRh2 crystal.

Computed properties:
- Symmetry: P4/mbm (127)
- V: 27.69 Å³/atom
- DFT formation energy: -0.4363 eV/atom
- M_tot: 0.000 μB/cell

Cell lengths 12.0465, 12.0465, 3.8162 Å; angles 90.00, 90.00, 90.00 degrees
Sites, in units of the cell vectors:
Pr 0.0000 0.5000 0.0000
Pr 0.0759 0.2008 0.0000
Pr 0.2008 0.9241 0.0000
Pr 0.2992 0.4241 0.0000
Pr 0.4241 0.7008 0.0000
Pr 0.5000 0.0000 0.0000
Pr 0.5759 0.2992 0.0000
Pr 0.7008 0.5759 0.0000
Pr 0.7992 0.0759 0.0000
Pr 0.9241 0.7992 0.0000
Tl 0.1747 0.6747 0.5000
Tl 0.3253 0.1747 0.5000
Tl 0.6747 0.8253 0.5000
Tl 0.8253 0.3253 0.5000
Zn 0.0000 0.0000 0.5000
Zn 0.5000 0.5000 0.5000
Rh 0.1319 0.3681 0.5000
Rh 0.3681 0.8681 0.5000
Rh 0.6319 0.1319 0.5000
Rh 0.8681 0.6319 0.5000